a:
Cr2InB | PBE | relaxed

Calculated values
Magnetization in μB/f.u.: 0.7
Space group: Fm-3m

Cell lengths 4.1449, 4.1449, 4.1449 Å; angles 60.00, 60.00, 60.00 degrees
With the nearest neighbours (Å) after each atom.
Sites, in units of the cell vectors:
Cr: 0.2500 0.2500 0.2500  4 In 2.54, 4 B 2.54
Cr: 0.7500 0.7500 0.7500  4 In 2.54, 4 B 2.54
In: 0.0000 0.0000 0.0000  8 Cr 2.54
B: 0.5000 0.5000 0.5000  8 Cr 2.54

---

b:
Cr2InB | PBE | relaxed

Calculated values
Magnetization in μB/f.u.: 0.0
Space group: I-42d

Cell lengths 8.3776, 8.3776, 8.3776 Å; angles 153.27, 153.27, 38.16 degrees
With the nearest neighbours (Å) after each atom.
Sites, in units of the cell vectors:
Cr: 0.3750 0.0293 0.1543  2 Cr 2.07, 2 B 2.23
Cr: 0.7793 0.6250 0.6543  2 Cr 2.07, 2 B 2.23
Cr: 0.8750 0.2207 0.8457  2 Cr 2.07, 2 B 2.23
Cr: 0.9707 0.1250 0.3457  2 Cr 2.07, 2 B 2.23
In: 0.2500 0.7500 0.5000  4 Cr 2.70, 4 B 2.74
In: 0.5000 0.5000 0.0000  4 Cr 2.70, 4 B 2.74
B: 0.0000 0.0000 0.0000  4 Cr 2.23
B: 0.7500 0.2500 0.5000  4 Cr 2.23

---

Relative energies with respect to the most stable structure, expressed in meV/atom: a 74; b 0.

---

a:
Cr3BIr | PBE | relaxed

Calculated values
Magnetization in μB/f.u.: 0.0
Space group: Pm-3m

Cell lengths 3.8715, 3.8715, 3.8715 Å; angles 90.00, 90.00, 90.00 degrees
With the nearest neighbours (Å) after each atom.
Sites, in units of the cell vectors:
Cr: 0.0000 0.0000 0.5000  2 B 1.94
Cr: 0.0000 0.5000 0.0000  2 B 1.94
Cr: 0.5000 0.0000 0.0000  2 B 1.94
B: 0.0000 0.0000 0.0000  6 Cr 1.94
Ir: 0.5000 0.5000 0.5000  12 Cr 2.74

---

b:
Cr3BIr | PBE | relaxed

Calculated values
Magnetization in μB/f.u.: 9.7
Space group: Pm-3m

Cell lengths 4.6917, 4.6917, 4.6917 Å; angles 90.00, 90.00, 90.00 degrees
With the nearest neighbours (Å) after each atom.
Sites, in units of the cell vectors:
Cr: 0.0000 0.0000 0.5000  2 Ir 2.35
Cr: 0.0000 0.5000 0.0000  2 Ir 2.35
Cr: 0.5000 0.0000 0.0000  2 Ir 2.35
B: 0.5000 0.5000 0.5000  12 Cr 3.32
Ir: 0.0000 0.0000 0.0000  6 Cr 2.35

---

Relative energies with respect to the most stable structure, expressed in meV/atom: a 0; b 1857.

---

a:
Cr2B2Ir | PBE | relaxed

Calculated values
Magnetization in μB/f.u.: 0.0
Space group: P4/mbm

Cell lengths 5.4058, 5.4058, 3.3946 Å; angles 90.00, 90.00, 90.00 degrees
With the nearest neighbours (Å) after each atom.
Sites, in units of the cell vectors:
Cr: 0.1625 0.3375 0.0000  6 B 2.28-2.40, 1 Cr 2.49
Cr: 0.3375 0.8375 0.0000  6 B 2.28-2.40, 1 Cr 2.49
Cr: 0.6625 0.1625 0.0000  6 B 2.28-2.40, 1 Cr 2.49
Cr: 0.8375 0.6625 0.0000  6 B 2.28-2.40, 1 Cr 2.49
B: 0.1161 0.6161 0.5000  1 B 1.78
B: 0.3839 0.1161 0.5000  1 B 1.78
B: 0.6161 0.8839 0.5000  1 B 1.78
B: 0.8839 0.3839 0.5000  1 B 1.78
Ir: 0.0000 0.0000 0.5000  4 B 2.17
Ir: 0.5000 0.5000 0.5000  4 B 2.17

---

b:
Cr2B2Ir | PBE | relaxed

Calculated values
Magnetization in μB/f.u.: 0.0
Space group: Pnnm

Cell lengths 7.1941, 9.3156, 2.9096 Å; angles 90.00, 90.00, 90.00 degrees
With the nearest neighbours (Å) after each atom.
Sites, in units of the cell vectors:
Cr: 0.0627 0.1401 0.0000  6 B 2.15-2.23
Cr: 0.1902 0.3605 0.5000  4 B 2.13-2.23
Cr: 0.3098 0.8605 0.0000  4 B 2.13-2.23
Cr: 0.4373 0.6401 0.5000  6 B 2.15-2.23
Cr: 0.5627 0.3599 0.5000  6 B 2.15-2.23
Cr: 0.6902 0.1395 0.0000  4 B 2.13-2.23
Cr: 0.8098 0.6395 0.5000  4 B 2.13-2.23
Cr: 0.9373 0.8599 0.0000  6 B 2.15-2.23
B: 0.1169 0.9629 0.5000  2 B 1.78-1.82
B: 0.1254 0.7722 0.5000  1 B 1.78
B: 0.3746 0.2722 0.0000  1 B 1.78
B: 0.3831 0.4629 0.0000  2 B 1.78-1.82
B: 0.6169 0.5371 0.0000  2 B 1.78-1.82
B: 0.6254 0.7278 0.0000  1 B 1.78
B: 0.8746 0.2278 0.5000  1 B 1.78
B: 0.8831 0.0371 0.5000  2 B 1.78-1.82
Ir: 0.1256 0.6047 0.0000  3 B 2.13-2.28
Ir: 0.3744 0.1047 0.5000  3 B 2.13-2.28
Ir: 0.6256 0.8953 0.5000  3 B 2.13-2.28
Ir: 0.8744 0.3953 0.0000  3 B 2.13-2.28

---

c:
Cr2B2Ir | PBE | relaxed

Calculated values
Magnetization in μB/f.u.: 1.2
Space group: Cmcm

Cell lengths 5.2391, 5.2391, 13.4816 Å; angles 90.00, 90.00, 148.03 degrees
With the nearest neighbours (Å) after each atom.
Sites, in units of the cell vectors:
Cr: 0.0025 0.9975 0.7500  4 B 2.20
Cr: 0.1747 0.8253 0.0588  4 B 2.14-2.24
Cr: 0.1747 0.8253 0.4412  4 B 2.14-2.24
Cr: 0.2695 0.7305 0.2500  8 B 2.18
Cr: 0.7305 0.2695 0.7500  8 B 2.18
Cr: 0.8253 0.1747 0.5588  4 B 2.14-2.24
Cr: 0.8253 0.1747 0.9412  4 B 2.14-2.24
Cr: 0.9975 0.0025 0.2500  4 B 2.20
B: 0.2020 0.7980 0.6306  1 B 1.78
B: 0.2020 0.7980 0.8694  1 B 1.78
B: 0.3652 0.6348 0.6819  2 B 1.78-1.84
B: 0.3652 0.6348 0.8181  2 B 1.78-1.84
B: 0.6348 0.3652 0.1819  2 B 1.78-1.84
B: 0.6348 0.3652 0.3181  2 B 1.78-1.84
B: 0.7980 0.2020 0.1306  1 B 1.78
B: 0.7980 0.2020 0.3694  1 B 1.78
Ir: 0.4438 0.5562 0.0888  3 B 2.13-2.30
Ir: 0.4438 0.5562 0.4112  3 B 2.13-2.30
Ir: 0.5562 0.4438 0.5888  3 B 2.13-2.30
Ir: 0.5562 0.4438 0.9112  3 B 2.13-2.30

---

Relative energies with respect to the most stable structure, expressed in meV/atom: a 72; b 0; c 5.

---

a:
KCr3B | PBE | relaxed

Calculated values
Magnetization in μB/f.u.: 12.0
Space group: Pm-3m

Cell lengths 4.4967, 4.4967, 4.4967 Å; angles 90.00, 90.00, 90.00 degrees
With the nearest neighbours (Å) after each atom.
Sites, in units of the cell vectors:
K: 0.0000 0.0000 0.0000  12 Cr 3.18
Cr: 0.0000 0.5000 0.5000  2 B 2.25
Cr: 0.5000 0.0000 0.5000  2 B 2.25
Cr: 0.5000 0.5000 0.0000  2 B 2.25
B: 0.5000 0.5000 0.5000  6 Cr 2.25

---

b:
KCr3B | PBE | relaxed

Calculated values
Magnetization in μB/f.u.: 3.6
Space group: Pm-3m

Cell lengths 4.1241, 4.1241, 4.1241 Å; angles 90.00, 90.00, 90.00 degrees
With the nearest neighbours (Å) after each atom.
Sites, in units of the cell vectors:
K: 0.0000 0.0000 0.0000  6 Cr 2.06
Cr: 0.0000 0.0000 0.5000  2 K 2.06
Cr: 0.0000 0.5000 0.0000  2 K 2.06
Cr: 0.5000 0.0000 0.0000  2 K 2.06
B: 0.5000 0.5000 0.5000  12 Cr 2.92

---

Relative energies with respect to the most stable structure, expressed in meV/atom: a 0; b 2440.

---

a:
Li3CrB | PBE | relaxed

Calculated values
Magnetization in μB/f.u.: 4.8
Space group: Pm-3m

Cell lengths 4.8091, 4.8091, 4.8091 Å; angles 90.00, 90.00, 90.00 degrees
With the nearest neighbours (Å) after each atom.
Sites, in units of the cell vectors:
Li: 0.0000 0.0000 0.5000  2 Cr 2.40
Li: 0.0000 0.5000 0.0000  2 Cr 2.40
Li: 0.5000 0.0000 0.0000  2 Cr 2.40
Cr: 0.0000 0.0000 0.0000  6 Li 2.40
B: 0.5000 0.5000 0.5000  12 Li 3.40

---

b:
Li3CrB | PBE | relaxed

Calculated values
Magnetization in μB/f.u.: 0.0
Space group: Pm-3m

Cell lengths 3.9808, 3.9808, 3.9808 Å; angles 90.00, 90.00, 90.00 degrees
With the nearest neighbours (Å) after each atom.
Sites, in units of the cell vectors:
Li: 0.0000 0.0000 0.5000  2 B 1.99
Li: 0.0000 0.5000 0.0000  2 B 1.99
Li: 0.5000 0.0000 0.0000  2 B 1.99
Cr: 0.5000 0.5000 0.5000  12 Li 2.81
B: 0.0000 0.0000 0.0000  6 Li 1.99

---

Relative energies with respect to the most stable structure, expressed in meV/atom: a 435; b 0.